The following is a GGA-PBE calculation of ReW2Au after structural relaxation, from Alexandria.

Computed properties:
ΔH_f (0 K) = 546 meV/atom
V = 65 Å³/f.u.

Cell lengths 6.3857, 6.3857, 6.3857 Å; angles 90.00, 90.00, 90.00 degrees
With the nearest neighbours (Å) after each atom.
Space group F-43m (No. 216)
One atom of each set of equivalent atoms:
Re 0.0000 0.0000 0.0000  4 W 2.77, 4 Au 2.77
W 0.0000 0.0000 0.5000  4 W 2.77, 4 Au 2.77
W 0.2500 0.2500 0.2500  4 W 2.77, 4 Re 2.77
Au 0.2500 0.2500 0.7500  4 W 2.77, 4 Re 2.77



The following is a GGA-PBE calculation of Pr3Co3Ag after structural relaxation, from Alexandria.

Computed properties:
ΔH_f (0 K) = -51 meV/atom
V = 161 Å³/f.u.

Cell lengths 9.6979, 9.6979, 3.9593 Å; angles 90.00, 90.00, 120.00 degrees
With the nearest neighbours (Å) after each atom.
Space group P6_3/m (No. 176)
One atom of each set of equivalent atoms:
Pr 0.0745 0.3841 0.2500  4 Co 2.81-3.04
Co 0.0237 0.1571 0.7500  6 Co 2.44-2.46
Ag 0.3333 0.6667 0.7500  6 Pr 3.29



The following is a GGA-PBE calculation of PaTiS4 after structural relaxation, from Alexandria.

Computed properties:
Total DFT energy (no corrections) = -84.06 eV per cell
V = 139 Å³/f.u.

Cell lengths 7.3657, 5.9942, 7.2243 Å; angles 90.00, 118.99, 90.00 degrees
With the nearest neighbours (Å) after each atom.
Space group P2_1/c (No. 14)
One atom of each set of equivalent atoms:
Pa 0.0000 0.0000 0.0000  6 S 2.63-2.68
Ti 0.5000 0.0000 0.5000  6 S 2.41-2.62
S 0.1919 0.2281 0.3552  1 Ti 2.41, 2 Pa 2.63-2.68
S 0.3492 0.7295 0.6766  2 Ti 2.46-2.62, 1 Pa 2.64



The following is a GGA-PBE calculation of Nd4GaCoI2 after structural relaxation, from Alexandria.

Computed properties:
Total DFT energy (no corrections) = -37.44 eV per cell
V = 249 Å³/f.u.

Cell lengths 7.5489, 4.1250, 8.3488 Å; angles 90.00, 106.66, 90.00 degrees
With the nearest neighbours (Å) after each atom.
Space group P2/m (No. 10)
One atom of each set of equivalent atoms:
Nd 0.2196 0.0000 0.1879  2 Co 2.82, 1 Ga 2.97
Nd 0.2331 0.5000 0.8105  1 Co 2.68, 2 Ga 3.00
Ga 0.5000 0.0000 0.0000  6 Nd 2.97-3.00
Co 0.0000 0.5000 0.0000  6 Nd 2.68-2.82
I 0.0000 0.0000 0.5000  6 Nd 3.38-3.47
I 0.5000 0.5000 0.5000  6 Nd 3.52-3.71



The following is a GGA-PBE calculation of Dy2Er7Tc2 after structural relaxation, from Alexandria.

Computed properties:
ΔH_f (0 K) = 75 meV/atom
V = 312 Å³/f.u.

Cell lengths 3.5341, 18.9657, 9.3115 Å; angles 90.00, 90.00, 90.00 degrees
With the nearest neighbours (Å) after each atom.
Space group Imm2 (No. 44)
One atom of each set of equivalent atoms:
Dy 0.0000 0.2450 0.0000  8 Er 3.39-3.76, 2 Dy 3.53
Er 0.0000 0.1151 0.3056  2 Tc 2.88
Er 0.0000 0.1382 0.7003  1 Tc 2.73
Er 0.0000 0.4182 0.4863  3 Tc 2.81-3.02, 1 Er 3.10
Er 0.0000 0.5000 0.0399  3 Tc 2.81-2.86
Tc 0.0000 0.0000 0.7820  8 Er 2.73-3.02
Tc 0.0000 0.5000 0.7384  7 Er 2.81-2.88



The following is a GGA-PBE calculation of ThMgAl after structural relaxation, from Alexandria.

Computed properties:
ΔH_f (0 K) = -138 meV/atom
V = 80 Å³/f.u.

Cell lengths 4.4717, 17.3911, 4.1073 Å; angles 90.00, 90.00, 90.00 degrees
With the nearest neighbours (Å) after each atom.
Space group Cmcm (No. 63)
One atom of each set of equivalent atoms:
Th 0.0000 0.0899 0.2500  6 Al 3.14-3.24, 1 Mg 3.50
Mg 0.0000 0.2912 0.2500  1 Al 2.85
Al 0.0000 0.4551 0.2500  2 Al 2.58, 1 Mg 2.85



| no. | total moment (μB per formula unit) |
| --- | --- |
| 1 | 0.00 |
| 2 | 1.15 |
| 3 | 1.02 |
| 4 | 0.00 |
| 5 | 0.00 |
| 6 | 0.00 |